(1)
The following is a DFT calculation (PBE-GGA) of crystalline CuSi2N at its relaxed geometry.

Energy in eV per atom: -5.70
Formation energy without anion corrections in eV/atom: 0.115
Spin magnetization in μB per formula unit: 0.00
Relative energy among the computed polymorphs in meV per atom: 0

a = 4.9849 Å, b = 4.9849 Å, c = 8.7631 Å
α = 90.00°, β = 90.00°, γ = 90.00°
Closest atoms and distances in Å follow each position.
Space group I-42d (No. 122)
Inequivalent atoms, fractional coordinates:
1 Cu 0.0000 0.0000 0.0000 x4  4 Si 2.27
2 Si 0.1886 0.2500 0.6250 x8  2 N 1.91
3 N 0.0000 0.0000 0.5000 x4  4 Si 1.91


(2)
The following is a DFT calculation (PBE-GGA) of crystalline W2SeCl at its relaxed geometry.

Energy in eV per atom: -7.84
Formation energy without anion corrections in eV/atom: -0.031
Spin magnetization in μB per formula unit: 0.00
Relative energy among the computed polymorphs in meV per atom: 0

a = 3.0404 Å, b = 3.0404 Å, c = 30.2845 Å
α = 90.00°, β = 90.00°, γ = 120.00°
Closest atoms and distances in Å follow each position.
Space group R3m (No. 160, hexagonal axes)
Inequivalent atoms, fractional coordinates:
1 W 0.0000 0.0000 0.0000 x3  3 Se 2.51
2 W 0.0000 0.0000 0.2555 x3  3 Cl 2.50
3 Se 0.0000 0.0000 0.7259 x3  3 W 2.51
4 Cl 0.0000 0.0000 0.5298 x3  3 W 2.50


(3)
The following is a DFT calculation (PBE-GGA) of crystalline Al2Cu2Se at its relaxed geometry.

Energy in eV per atom: -3.88
Formation energy without anion corrections in eV/atom: -0.048
Spin magnetization in μB per formula unit: 0.00
Relative energy among the computed polymorphs in meV per atom: 0

a = 7.7062 Å, b = 7.7062 Å, c = 2.6884 Å
α = 90.00°, β = 90.00°, γ = 90.00°
Closest atoms and distances in Å follow each position.
Space group P4/mbm (No. 127)
Inequivalent atoms, fractional coordinates:
1 Al 0.1893 0.3107 0.0000 x4  6 Cu 2.57-2.74, 2 Al 2.69, 2 Se 2.80
2 Cu 0.1093 0.6093 0.5000 x4  1 Cu 2.38, 2 Al 2.57
3 Se 0.0000 0.0000 0.0000 x2  2 Se 2.69, 4 Al 2.80


(4)
The following is a DFT calculation (PBE-GGA) of crystalline Rb2OsAu at its relaxed geometry.

Energy in eV per atom: -3.06
Spin magnetization in μB per formula unit: 2.26
Formation energy in eV/atom: 1.05

a = 12.0543 Å, b = 12.0543 Å, c = 5.1132 Å
α = 90.00°, β = 90.00°, γ = 90.00°
Closest atoms and distances in Å follow each position.
Space group I-42d (No. 122)
Inequivalent atoms, fractional coordinates:
1 Rb 0.0962 0.2500 0.1250 x8  2 Au 3.29
2 Os 0.0000 0.0000 0.5000 x4  2 Au 2.56
3 Au 0.0000 0.0000 0.0000 x4  2 Os 2.56


(5)
The following is a DFT calculation (PBE-GGA) of crystalline Pa5AlTc4 at its relaxed geometry.

Energy in eV per atom: -9.31
Spin magnetization in μB per formula unit: 0.00
Formation energy in eV/atom: -0.04

a = 7.7579 Å, b = 8.1801 Å, c = 7.1209 Å
α = 90.00°, β = 90.00°, γ = 90.00°
Closest atoms and distances in Å follow each position.
Space group Pmmn (No. 59, origin choice 2)
Inequivalent atoms, fractional coordinates:
1 Pa 0.0048 0.0373 0.2427 x8  4 Tc 2.66-2.89
2 Pa 0.2500 0.2500 0.5698 x2  2 Tc 2.53
3 Al 0.2500 0.7500 0.0738 x2  2 Tc 2.70
4 Tc 0.0746 0.7500 0.4657 x4  3 Pa 2.53-2.78, 1 Tc 2.72
5 Tc 0.2500 0.0692 0.9764 x4  4 Pa 2.66-2.70, 1 Al 2.70, 1 Tc 2.96


(6)
The following is a DFT calculation (PBE-GGA) of crystalline Hf2PdRh at its relaxed geometry.

Energy in eV per atom: -8.85
Spin magnetization in μB per formula unit: 0.00
Formation energy in eV/atom: -0.74

a = 4.6760 Å, b = 4.6760 Å, c = 3.2719 Å
α = 90.00°, β = 90.00°, γ = 90.00°
Closest atoms and distances in Å follow each position.
Space group P4/mmm (No. 123)
Inequivalent atoms, fractional coordinates:
1 Hf 0.0000 0.5000 0.0000 x2  4 Rh 2.85, 4 Pd 2.85
2 Pd 0.0000 0.0000 0.5000 x1  8 Hf 2.85
3 Rh 0.5000 0.5000 0.5000 x1  8 Hf 2.85


(7)
The following is a DFT calculation (PBE-GGA) of crystalline TiZnTc3 at its relaxed geometry.

Energy in eV per atom: -6.63
Spin magnetization in μB per formula unit: 0.00
Formation energy in eV/atom: 1.43
Relative energy among the computed polymorphs in meV per atom: 78

a = 4.4740 Å, b = 4.4740 Å, c = 4.4740 Å
α = 90.00°, β = 90.00°, γ = 90.00°
Closest atoms and distances in Å follow each position.
Space group Pm-3m (No. 221)
Inequivalent atoms, fractional coordinates:
1 Ti 0.0000 0.0000 0.0000 x1  12 Tc 3.16
2 Zn 0.5000 0.5000 0.5000 x1  6 Tc 2.24
3 Tc 0.0000 0.5000 0.5000 x3  2 Zn 2.24


(8)
The following is a DFT calculation (PBE-GGA) of crystalline Ba3Ga2H at its relaxed geometry.

Energy in eV per atom: -2.83
Spin magnetization in μB per formula unit: 0.00

a = 12.2100 Å, b = 8.7865 Å, c = 7.4877 Å
α = 90.00°, β = 99.38°, γ = 90.00°
Closest atoms and distances in Å follow each position.
Space group C2/c (No. 15)
Inequivalent atoms, fractional coordinates:
1 Ba 0.0000 0.0673 0.2500 x4  1 H 3.12, 2 Ga 3.36
2 Ba 0.1387 0.4117 0.9911 x8  2 H 2.69-2.78
3 Ga 0.1813 0.2072 0.5964 x8  1 Ga 2.50
4 H 0.0000 0.4229 0.2500 x4  4 Ba 2.69-2.78